Entry from Alexandria: crystalline Zr2HO at its relaxed geometry (PBE-GGA).

```
data_Zr2HO
_cell_length_a 5.846
_cell_length_b 5.846
_cell_length_c 5.846
_cell_angle_alpha 90.00
_cell_angle_beta 90.00
_cell_angle_gamma 90.00
_symmetry_space_group_name_H-M 'F m -3 m'
_symmetry_Int_Tables_number 225
_symmetry_space_group_name_Hall '-F 4 2 3'
loop_
_atom_site_label
_atom_site_fract_x
_atom_site_fract_y
_atom_site_fract_z
Zr1 0.250 0.250 0.250
H1 0.000 0.000 0.000
O1 0.000 0.000 0.500
```

Properties
Mass density, Mg/m³: 6.631
DFT total energy, eV per atom: -6.912
Magnetic moment, Bohr magnetons per cell: 0.0